No. 1
Compound: K2BaAu2
Source: the Alexandria database
Functional: GGA-PBE
Structure: optimized geometry

```
data_K2BaAu2
_chemical_formula_sum 'K4 Ba2 Au4'
_cell_length_a 4.8409
_cell_length_b 4.8409
_cell_length_c 15.2750
_cell_angle_alpha 90.00
_cell_angle_beta 90.00
_cell_angle_gamma 90.00
_symmetry_space_group_name_H-M 'I 4/m m m'
_symmetry_Int_Tables_number 139
_symmetry_space_group_name_Hall '-I 4 2'
loop_
_atom_site_label
_atom_site_type_symbol
_atom_site_fract_x
_atom_site_fract_y
_atom_site_fract_z
_atom_site_occupancy
K1 K 0.0000 0.5000 0.2500 1
Ba1 Ba 0.0000 0.0000 0.0000 1
Au1 Au 0.0000 0.0000 0.4089 1
```

Calculated values
DFT total energy: -2.471 eV per atom
DOS at the Fermi energy: 0.43 states/eV per atom
Energy of formation: -0.337 eV per atom

***

No. 2
Compound: K2BaAu2
Source: the Alexandria database
Functional: GGA-PBE
Structure: optimized geometry

```
data_K2BaAu2
_chemical_formula_sum 'K4 Ba2 Au4'
_cell_length_a 8.4407
_cell_length_b 8.4407
_cell_length_c 5.2647
_cell_angle_alpha 90.00
_cell_angle_beta 90.00
_cell_angle_gamma 90.00
_symmetry_space_group_name_H-M 'P 4/m b m'
_symmetry_Int_Tables_number 127
_symmetry_space_group_name_Hall '-P 4 2ab'
loop_
_atom_site_label
_atom_site_type_symbol
_atom_site_fract_x
_atom_site_fract_y
_atom_site_fract_z
_atom_site_occupancy
K1 K 0.1585 0.3415 0.0000 1
Ba1 Ba 0.0000 0.0000 0.5000 1
Au1 Au 0.1205 0.6205 0.5000 1
```

Calculated values
DFT total energy: -2.473 eV per atom
DOS at the Fermi energy: 0.18 states/eV per atom
Energy of formation: -0.338 eV per atom

***

No. 3
Compound: K2BaAu
Source: the Alexandria database
Functional: GGA-PBE
Structure: optimized geometry

```
data_K2BaAu
_chemical_formula_sum 'K8 Ba4 Au4'
_cell_length_a 8.7097
_cell_length_b 8.7097
_cell_length_c 8.7097
_cell_angle_alpha 90.00
_cell_angle_beta 90.00
_cell_angle_gamma 90.00
_symmetry_space_group_name_H-M 'F m -3 m'
_symmetry_Int_Tables_number 225
_symmetry_space_group_name_Hall '-F 4 2 3'
loop_
_atom_site_label
_atom_site_type_symbol
_atom_site_fract_x
_atom_site_fract_y
_atom_site_fract_z
_atom_site_occupancy
K1 K 0.2500 0.2500 0.2500 1
Ba1 Ba 0.0000 0.0000 0.0000 1
Au1 Au 0.0000 0.0000 0.5000 1
```

Calculated values
DFT total energy: -1.727 eV per atom
DOS at the Fermi energy: 1.01 states/eV per atom
Energy of formation: 0.122 eV per atom

***

No. 4
Compound: KBa2Au2
Source: the Alexandria database
Functional: GGA-PBE
Structure: optimized geometry

```
data_KBa2Au2
_chemical_formula_sum 'K2 Ba4 Au4'
_cell_length_a 6.0176
_cell_length_b 6.0176
_cell_length_c 13.5521
_cell_angle_alpha 90.00
_cell_angle_beta 90.00
_cell_angle_gamma 90.00
_symmetry_space_group_name_H-M 'I 4/m m m'
_symmetry_Int_Tables_number 139
_symmetry_space_group_name_Hall '-I 4 2'
loop_
_atom_site_label
_atom_site_type_symbol
_atom_site_fract_x
_atom_site_fract_y
_atom_site_fract_z
_atom_site_occupancy
K1 K 0.0000 0.0000 0.0000 1
Ba1 Ba 0.0000 0.0000 0.3363 1
Au1 Au 0.0000 0.5000 0.2500 1
```

Calculated values
DFT total energy: -2.637 eV per atom
DOS at the Fermi energy: 0.74 states/eV per atom
Energy of formation: -0.337 eV per atom

***

no.,ΔE to the lowest computed polymorph (eV per atom)
1,0.002
2,0.000
3,0.452
4,0.193